Model i:
## GdNb (PBE)

Data for an optimized crystal structure of GdNb.

a = 6.6762 Å, b = 6.6762 Å, c = 6.6762 Å
α = 90.00°, β = 90.00°, γ = 90.00°
Closest atoms and distances in Å follow each position.
Space group F-43m (No. 216)
Inequivalent atoms, fractional coordinates:
Gd 0.0000 0.0000 0.0000 x4  4 Nb 2.89
Nb 0.2500 0.2500 0.2500 x4  4 Gd 2.89

***

Model ii:
## GdNb (PBE)

Data for an optimized crystal structure of GdNb.

a = 5.9097 Å, b = 5.9097 Å, c = 5.9097 Å
α = 90.00°, β = 90.00°, γ = 90.00°
Closest atoms and distances in Å follow each position.
Space group Fm-3m (No. 225)
Inequivalent atoms, fractional coordinates:
Gd 0.0000 0.0000 0.0000 x4  6 Nb 2.95
Nb 0.0000 0.0000 0.5000 x4  6 Gd 2.95

***

Which structure is most stable, and how do the rest compare? From most to least stable: model ii, model i.

***

Model i:
## GdNb2 (PBE)

Data for an optimized crystal structure of GdNb2.

a = 8.1240 Å, b = 8.1240 Å, c = 8.1240 Å
α = 90.00°, β = 90.00°, γ = 90.00°
Closest atoms and distances in Å follow each position.
Space group Fd-3m (No. 227, origin choice 2)
Inequivalent atoms, fractional coordinates:
Gd 0.1250 0.1250 0.1250 x8  12 Nb 3.37, 4 Gd 3.52
Nb 0.0000 0.0000 0.5000 x16  6 Nb 2.87

***

Model ii:
## GdNb2 (PBE)

Data for an optimized crystal structure of GdNb2.

a = 11.6654 Å, b = 11.6654 Å, c = 11.6654 Å
α = 90.00°, β = 90.00°, γ = 90.00°
Closest atoms and distances in Å follow each position.
Space group Fd-3m (No. 227, origin choice 2)
Inequivalent atoms, fractional coordinates:
Gd 0.1250 0.1250 0.1250 x8  4 Nb 2.53
Nb 0.0000 0.0000 0.0000 x16  2 Gd 2.53

***

Which structure is most stable, and how do the rest compare? From most to least stable: model i, model ii.

***

Model i:
## Gd2Nb2O5 (PBE)

Data for an optimized crystal structure of Gd2Nb2O5.

a = 4.0557 Å, b = 4.0557 Å, c = 6.9755 Å
α = 90.00°, β = 90.00°, γ = 90.00°
Closest atoms and distances in Å follow each position.
Space group P4/mmm (No. 123)
Inequivalent atoms, fractional coordinates:
Gd 0.0000 0.0000 0.0000 x1  8 O 2.67
Gd 0.0000 0.0000 0.5000 x1  12 O 2.68-2.87
Nb 0.5000 0.5000 0.1933 x2  5 O 2.06-2.14
O 0.0000 0.5000 0.2481 x4  2 Nb 2.06
O 0.5000 0.5000 0.5000 x1  2 Nb 2.14

***

Model ii:
## Gd2Nb2O5 (PBE)

Data for an optimized crystal structure of Gd2Nb2O5.

a = 3.5196 Å, b = 3.5196 Å, c = 9.9426 Å
α = 90.00°, β = 90.00°, γ = 90.00°
Closest atoms and distances in Å follow each position.
Space group P4/mmm (No. 123)
Inequivalent atoms, fractional coordinates:
Gd 0.0000 0.0000 0.2367 x2  5 O 2.25-2.35
Nb 0.5000 0.5000 0.0000 x1  4 O 2.49
Nb 0.5000 0.5000 0.5000 x1  8 O 2.14
O 0.0000 0.0000 0.0000 x1  2 Gd 2.35, 4 Nb 2.49
O 0.0000 0.5000 0.3782 x4  2 Nb 2.14, 2 Gd 2.25

***

Which structure is most stable, and how do the rest compare? From most to least stable: model i, model ii.

***

Model i:
## GdNbOs (PBE)

Data for an optimized crystal structure of GdNbOs.

a = 6.3914 Å, b = 6.3914 Å, c = 6.3914 Å
α = 90.00°, β = 90.00°, γ = 90.00°
Closest atoms and distances in Å follow each position.
Space group F-43m (No. 216)
Inequivalent atoms, fractional coordinates:
Gd 0.0000 0.0000 0.0000 x4  4 Nb 2.77
Nb 0.2500 0.2500 0.2500 x4  4 Gd 2.77, 4 Os 2.77
Os 0.0000 0.0000 0.5000 x4  4 Nb 2.77

***

Model ii:
## GdNbOs (PBE)

Data for an optimized crystal structure of GdNbOs.

a = 6.4136 Å, b = 6.4136 Å, c = 6.4136 Å
α = 90.00°, β = 90.00°, γ = 90.00°
Closest atoms and distances in Å follow each position.
Space group F-43m (No. 216)
Inequivalent atoms, fractional coordinates:
Gd 0.0000 0.0000 0.0000 x4  4 Nb 2.78, 4 Os 2.78
Nb 0.2500 0.2500 0.7500 x4  4 Gd 2.78
Os 0.2500 0.2500 0.2500 x4  4 Gd 2.78

***

Which structure is most stable, and how do the rest compare? From most to least stable: model i, model ii.

***

Model i:
## GdNbW (PBE)

Data for an optimized crystal structure of GdNbW.

a = 6.5190 Å, b = 6.5190 Å, c = 6.5190 Å
α = 90.00°, β = 90.00°, γ = 90.00°
Closest atoms and distances in Å follow each position.
Space group F-43m (No. 216)
Inequivalent atoms, fractional coordinates:
Gd 0.0000 0.0000 0.0000 x4  4 W 2.82, 4 Nb 2.82
Nb 0.2500 0.2500 0.7500 x4  4 Gd 2.82
W 0.2500 0.2500 0.2500 x4  4 Gd 2.82

***

Model ii:
## GdNbW (PBE)

Data for an optimized crystal structure of GdNbW.

a = 6.5256 Å, b = 6.5256 Å, c = 6.5256 Å
α = 90.00°, β = 90.00°, γ = 90.00°
Closest atoms and distances in Å follow each position.
Space group F-43m (No. 216)
Inequivalent atoms, fractional coordinates:
Gd 0.0000 0.0000 0.0000 x4  4 Nb 2.83
Nb 0.2500 0.2500 0.2500 x4  4 Gd 2.83, 4 W 2.83
W 0.0000 0.0000 0.5000 x4  4 Nb 2.83

***

Which structure is most stable, and how do the rest compare? From most to least stable: model ii, model i.

***

Model i:
## Nd2Gd2O5 (PBE)

Data for an optimized crystal structure of Nd2Gd2O5.

a = 4.4276 Å, b = 4.4276 Å, c = 7.4458 Å
α = 90.00°, β = 90.00°, γ = 90.00°
Closest atoms and distances in Å follow each position.
Space group P4/mmm (No. 123)
Inequivalent atoms, fractional coordinates:
Nd 0.0000 0.0000 0.0000 x1  8 O 2.77
Nd 0.0000 0.0000 0.5000 x1  12 O 3.02-3.13
Gd 0.5000 0.5000 0.2204 x2  5 O 2.08-2.21
O 0.0000 0.5000 0.2241 x4  2 Gd 2.21
O 0.5000 0.5000 0.5000 x1  2 Gd 2.08

***

Model ii:
## Nd2Gd2O5 (PBE)

Data for an optimized crystal structure of Nd2Gd2O5.

a = 3.9352 Å, b = 3.9352 Å, c = 10.0860 Å
α = 90.00°, β = 90.00°, γ = 90.00°
Closest atoms and distances in Å follow each position.
Space group P4/mmm (No. 123)
Inequivalent atoms, fractional coordinates:
Nd 0.0000 0.0000 0.2410 x2  4 O 2.23
Gd 0.5000 0.5000 0.0000 x1  8 O 2.40
Gd 0.5000 0.5000 0.5000 x1  4 O 2.78
O 0.0000 0.0000 0.5000 x1  2 Nd 2.61, 4 Gd 2.78
O 0.0000 0.5000 0.1365 x4  2 Nd 2.23, 2 Gd 2.40

***

Which structure is most stable, and how do the rest compare? From most to least stable: model ii, model i.